Entry 1:
! Te2IrF (PBE-GGA, optimized geometry); values from VASP
&SYSTEM
  ibrav = 0, nat = 4, ntyp = 3
/
ATOMIC_SPECIES
Ir 192.22 Ir.upf
Te 127.60 Te.upf
F 19.00 F.upf
ATOMIC_POSITIONS crystal
Ir 0.4703 0.0000 0.3280
Te 0.9183 0.5000 0.1362
F 0.4178 0.0000 0.8285
Te 0.0306 0.0000 0.5926
CELL_PARAMETERS angstrom
3.6716 0.0000 -0.0004
0.0000 3.0514 0.0000
-0.5298 0.0000 7.4124
! volume = 20.8 A^3/atom
! symmetry = Pm
! VASP energy = -19.209 eV/cell
! formation energy (no corrections) = -548 meV/atom
! offset from the most stable computed form = 213.4 meV/atom

---

Entry 2:
! V2TcMoN (PBE-GGA, optimized geometry); values from VASP
&SYSTEM
  ibrav = 0, nat = 5, ntyp = 4
/
ATOMIC_SPECIES
V 50.94 V.upf
Mo 95.94 Mo.upf
N 14.01 N.upf
Tc 98.00 Tc.upf
ATOMIC_POSITIONS crystal
V 0.0000 0.5000 0.0000
Mo 0.0000 0.0000 0.5000
N 0.0000 0.0000 0.0000
V 0.5000 0.0000 0.0000
Tc 0.5000 0.5000 0.5000
CELL_PARAMETERS angstrom
3.9384 0.0000 0.0000
0.0000 3.9384 0.0000
0.0000 0.0000 4.1039
! volume = 12.7 A^3/atom
! symmetry = P4/mmm
! VASP energy = -49.475 eV/cell
! formation energy (no corrections) = -343 meV/atom

---

Entry 3:
! Ho3S2N (PBE-GGA, optimized geometry); values from VASP
&SYSTEM
  ibrav = 0, nat = 12, ntyp = 3
/
ATOMIC_SPECIES
S 32.06 S.upf
Ho 164.93 Ho.upf
N 14.01 N.upf
ATOMIC_POSITIONS crystal
S 0.3333 0.6667 0.9122
Ho 0.0000 0.0000 0.5000
S 0.3333 0.6667 0.5878
N 0.0000 0.0000 0.2500
N 0.0000 0.0000 0.7500
Ho 0.6667 0.3333 0.8245
Ho 0.6667 0.3333 0.6755
Ho 0.3333 0.6667 0.3245
Ho 0.0000 0.0000 0.0000
S 0.6667 0.3333 0.4122
S 0.6667 0.3333 0.0878
Ho 0.3333 0.6667 0.1755
CELL_PARAMETERS angstrom
-2.7637 -2.3015 -0.5041
2.5652 0.3429 -2.5478
10.3984 -14.3568 8.5372
! volume = 18.7 A^3/atom
! symmetry = P6_3/mmc
! VASP energy = -80.930 eV/cell
! formation energy (no corrections) = -1692 meV/atom